1.
Computed, not measured: a relaxed structure of K3Li2CdF9 at the PBE level of DFT.

Cell lengths 5.847, 5.847, 7.309 Å; angles 90.00, 90.00, 120.00 degrees
Fractional positions:
K: 0.333 0.667 0.688
K: 0.000 0.000 0.000
K: 0.667 0.333 0.312
Li: 0.333 0.667 0.150
Li: 0.667 0.333 0.850
Cd: 0.000 0.000 0.500
F: 0.829 0.171 0.673
F: 0.829 0.659 0.673
F: 0.341 0.171 0.673
F: 0.659 0.829 0.327
F: 0.171 0.341 0.327
F: 0.171 0.829 0.327
F: 0.500 0.000 0.000
F: 0.000 0.500 0.000
F: 0.500 0.500 0.000

formation energy without anion corrections	-2333	meV per atom
symmetry	No. 164
total energy	-3.9912	eV per atom
N(E_F)	0.61	states/eV/atom

2.
Computed, not measured: a relaxed structure of ZnAg8Hg2 at the PBE level of DFT.

Cell lengths 5.070, 7.072, 7.072 Å; angles 81.47, 74.90, 74.90 degrees
Fractional positions:
Zn: 0.000 0.000 0.000
Ag: 0.838 0.153 0.667
Ag: 0.162 0.333 0.847
Ag: 0.885 0.272 0.272
Ag: 0.115 0.728 0.728
Ag: 0.838 0.667 0.153
Ag: 0.162 0.847 0.333
Ag: 0.295 0.434 0.434
Ag: 0.705 0.566 0.566
Hg: 0.467 0.153 0.153
Hg: 0.533 0.847 0.847

symmetry	No. 12
total energy	-2.0542	eV per atom
N(E_F)	0.37	states/eV/atom
distance to the lowest polymorph of the same formula	15.1	kJ/mol of atoms
calculated formation energy	0.19	eV per atom

3.
Computed, not measured: a relaxed structure of Th2In at the PBE level of DFT.

Cell lengths 3.522, 3.522, 14.555 Å; angles 90.00, 90.00, 90.00 degrees
Fractional positions:
Th: 0.500 0.500 0.000
Th: 0.500 0.500 0.319
Th: 0.000 0.000 0.500
Th: 0.500 0.500 0.681
In: 0.000 0.000 0.842
In: 0.000 0.000 0.158

symmetry	No. 123
total energy	-5.9974	eV per atom
N(E_F)	1.61	states/eV/atom
calculated formation energy	-0.14	eV per atom

Question: What is the formula in the third record?
Answer: Th2In

Question: Look up the N(E_F) of the third one.
Answer: 1.61 states/eV/atom

Question: Look up the total energy of the first one.
Answer: -3.9912 eV per atom